(1)
Here is a relaxed Ta2TiNb crystal from the Alexandria database. Energies are from GGA-PBEsol.

Cell lengths 4.607, 4.607, 4.607 Å; angles 60.00, 60.00, 60.00 degrees
Positions (direct):
Nb: 0.500 0.500 0.500
Ti: 0.000 0.000 0.000
Ta: 0.250 0.250 0.250
Ta: 0.750 0.750 0.750

E_tot, eV per atom: -11.014
Calculated volume, Å³/cell: 69.16
Formation energy from the elements, eV/f.u.: 0.2

=====

(2)
Here is a relaxed Ta3NbTl crystal from the Alexandria database. Energies are from GGA-PBEsol.

Cell lengths 4.853, 4.853, 4.853 Å; angles 90.00, 90.00, 90.00 degrees
Positions (direct):
Tl: 0.500 0.500 0.500
Nb: 0.000 0.000 0.000
Ta: 0.000 0.500 0.000
Ta: 0.000 0.000 0.500
Ta: 0.500 0.000 0.000

E_tot, eV per atom: -8.585
Calculated volume, Å³/cell: 114.33
Formation energy from the elements, eV/f.u.: 8.2

=====

(3)
Here is a relaxed TaNb2V crystal from the Alexandria database. Energies are from GGA-PBEsol.

Cell lengths 4.545, 4.545, 4.545 Å; angles 60.00, 60.00, 60.00 degrees
Positions (direct):
Nb: 0.250 0.250 0.250
Nb: 0.750 0.750 0.750
V: 0.000 0.000 0.000
Ta: 0.500 0.500 0.500

E_tot, eV per atom: -10.895
Calculated volume, Å³/cell: 66.39
Formation energy from the elements, eV/f.u.: 0.2

=====

(4)
Here is a relaxed TaNb2W crystal from the Alexandria database. Energies are from GGA-PBEsol.

Cell lengths 4.585, 4.585, 4.585 Å; angles 60.00, 60.00, 60.00 degrees
Positions (direct):
Nb: 0.250 0.250 0.250
Nb: 0.750 0.750 0.750
W: 0.500 0.500 0.500
Ta: 0.000 0.000 0.000

E_tot, eV per atom: -12.010
Calculated volume, Å³/cell: 68.14
Formation energy from the elements, eV/f.u.: 0.0

=====

(5)
Here is a relaxed TaNbW crystal from the Alexandria database. Energies are from GGA-PBEsol.

Cell lengths 2.808, 2.808, 7.024 Å; angles 97.47, 97.47, 110.46 degrees
Positions (direct):
Nb: 0.003 0.003 0.006
W: 0.667 0.667 0.335
Ta: 0.330 0.330 0.659

E_tot, eV per atom: -12.421
Calculated volume, Å³/cell: 50.54
Formation energy from the elements, eV/f.u.: -0.1

=====

(6)
Here is a relaxed YTa3Nb crystal from the Alexandria database. Energies are from GGA-PBEsol.

Cell lengths 4.880, 4.880, 4.880 Å; angles 90.00, 90.00, 90.00 degrees
Positions (direct):
Y: 0.500 0.500 0.500
Nb: 0.000 0.000 0.000
Ta: 0.000 0.500 0.000
Ta: 0.000 0.000 0.500
Ta: 0.500 0.000 0.000

E_tot, eV per atom: -9.862
Calculated volume, Å³/cell: 116.19
Formation energy from the elements, eV/f.u.: 6.0

=====

(7)
Here is a relaxed YTa3Nb crystal from the Alexandria database. Energies are from GGA-PBEsol.

Cell lengths 4.764, 4.764, 4.764 Å; angles 90.00, 90.00, 90.00 degrees
Positions (direct):
Y: 0.000 0.000 0.000
Nb: 0.500 0.500 0.500
Ta: 0.000 0.500 0.000
Ta: 0.000 0.000 0.500
Ta: 0.500 0.000 0.000

E_tot, eV per atom: -8.715
Calculated volume, Å³/cell: 108.15
Formation energy from the elements, eV/f.u.: 11.7

=====

(8)
Here is a relaxed ZrTa2Nb crystal from the Alexandria database. Energies are from GGA-PBEsol.

Cell lengths 4.713, 4.713, 4.713 Å; angles 60.00, 60.00, 60.00 degrees
Positions (direct):
Nb: 0.500 0.500 0.500
Zr: 0.000 0.000 0.000
Ta: 0.250 0.250 0.250
Ta: 0.750 0.750 0.750

E_tot, eV per atom: -11.146
Calculated volume, Å³/cell: 74.03
Formation energy from the elements, eV/f.u.: 0.4

=====

(9)
Here is a relaxed TiNbTc2 crystal from the Alexandria database. Energies are from GGA-PBEsol.

Cell lengths 4.403, 4.403, 4.403 Å; angles 60.00, 60.00, 60.00 degrees
Positions (direct):
Nb: 0.500 0.500 0.500
Tc: 0.250 0.250 0.250
Tc: 0.750 0.750 0.750
Ti: 0.000 0.000 0.000

E_tot, eV per atom: -10.844
Calculated volume, Å³/cell: 60.35
Formation energy from the elements, eV/f.u.: -1.7

=====

(10)
Here is a relaxed NbTcW2 crystal from the Alexandria database. Energies are from GGA-PBEsol.

Cell lengths 4.458, 4.458, 4.458 Å; angles 60.00, 60.00, 60.00 degrees
Positions (direct):
Nb: 0.000 0.000 0.000
Tc: 0.500 0.500 0.500
W: 0.250 0.250 0.250
W: 0.750 0.750 0.750

E_tot, eV per atom: -12.441
Calculated volume, Å³/cell: 62.65
Formation energy from the elements, eV/f.u.: -0.1

=====

(11)
Here is a relaxed NbZnTc2W crystal from the Alexandria database. Energies are from GGA-PBEsol.

Cell lengths 4.381, 4.381, 4.507 Å; angles 90.00, 90.00, 90.00 degrees
Positions (direct):
Zn: 0.000 0.000 0.000
Nb: 0.000 0.000 0.500
Tc: 0.000 0.500 0.000
Tc: 0.500 0.000 0.000
W: 0.500 0.500 0.500

E_tot, eV per atom: -8.051
Calculated volume, Å³/cell: 86.51
Formation energy from the elements, eV/f.u.: 8.5

=====

(12)
Here is a relaxed YZrNbTc2 crystal from the Alexandria database. Energies are from GGA-PBEsol.

Cell lengths 4.710, 4.710, 4.959 Å; angles 90.00, 90.00, 90.00 degrees
Positions (direct):
Y: 0.000 0.000 0.500
Nb: 0.000 0.000 0.000
Tc: 0.000 0.500 0.000
Tc: 0.500 0.000 0.000
Zr: 0.500 0.500 0.500

E_tot, eV per atom: -8.629
Calculated volume, Å³/cell: 110.03
Formation energy from the elements, eV/f.u.: 6.1